# 1
# KCa4Ru

An optimized crystal structure of KCa4Ru (GGA-PBE, Alexandria).

Summary:
For the total magnetization, the calculation gives 1.3 μB per cell. For the calculated formation energy, the calculation gives 0.867 eV/atom.

a = 6.8479 Å, b = 6.8479 Å, c = 6.8479 Å
α = 60.00°, β = 60.00°, γ = 60.00°
Last column: magnetic moment on the atom in μB.
Fractional coordinates of all 6 atoms:
K 0.7500 0.7500 0.7500  0.00
Ca 0.8797 0.3734 0.3734  -0.03
Ca 0.3734 0.3734 0.8797  -0.03
Ca 0.3734 0.8797 0.3734  -0.03
Ca 0.3734 0.3734 0.3734  -0.03
Ru 0.0000 0.0000 0.0000  1.62

=====

# 2
# K2CaRu

An optimized crystal structure of K2CaRu (GGA-PBE, Alexandria).

Summary:
Its energy relative to the lowest polymorph listed for this composition is 0.07 eV per formula unit. For the total magnetization, the calculation gives 0.6 μB per cell. For the calculated formation energy, the calculation gives 0.594 eV/atom.

a = 3.7334 Å, b = 3.7330 Å, c = 11.5434 Å
α = 70.68°, β = 90.00°, γ = 90.00°
Last column: magnetic moment on the atom in μB.
Fractional coordinates of all 4 atoms:
Ca 0.5000 0.8406 0.6583  -0.02
K 0.0000 0.0369 0.9571  0.00
K 0.5000 0.1696 0.3359  0.00
Ru 0.0000 0.4529 0.5487  0.69

=====

# 3
# KCa3Ru

An optimized crystal structure of KCa3Ru (GGA-PBE, Alexandria).

Summary:
Its energy relative to the lowest polymorph listed for this composition is 7.71 eV per formula unit. For the total magnetization, the calculation gives 0.0 μB per cell. For the calculated formation energy, the calculation gives 1.705 eV/atom.

a = 5.4365 Å, b = 5.4365 Å, c = 5.4365 Å
α = 90.00°, β = 90.00°, γ = 90.00°
Fractional coordinates of all 5 atoms:
Ru 0.5000 0.5000 0.5000
Ca 0.0000 0.5000 0.0000
Ca 0.0000 0.0000 0.5000
Ca 0.5000 0.0000 0.0000
K 0.0000 0.0000 0.0000

=====

# 4
# K2CaRu

An optimized crystal structure of K2CaRu (GGA-PBE, Alexandria).

Summary:
Its energy relative to the lowest polymorph listed for this composition is 1.74 eV per formula unit. For the total magnetization, the calculation gives 1.2 μB per cell. For the calculated formation energy, the calculation gives 1.013 eV/atom.

a = 6.8823 Å, b = 6.8823 Å, c = 3.4918 Å
α = 90.00°, β = 90.00°, γ = 126.75°
Last column: magnetic moment on the atom in μB.
Fractional coordinates of all 4 atoms:
Ca 0.0000 0.5000 0.5000  -0.04
K 0.0000 0.0000 0.0000  -0.01
K 0.5000 0.5000 0.0000  -0.01
Ru 0.5000 0.0000 0.5000  1.34

=====

# 5
# K2CaRu

An optimized crystal structure of K2CaRu (GGA-PBE, Alexandria).

Summary:
Its energy relative to the lowest polymorph listed for this composition is 1.31 eV per formula unit. For the total magnetization, the calculation gives 1.4 μB per cell. For the calculated formation energy, the calculation gives 0.906 eV/atom.

a = 6.0799 Å, b = 4.6347 Å, c = 4.6347 Å
α = 90.00°, β = 90.00°, γ = 90.00°
Last column: magnetic moment on the atom in μB.
Fractional coordinates of all 4 atoms:
Ca 0.5000 0.0000 0.5000  -0.03
K 0.0000 0.0000 0.0000  0.00
K 0.0000 0.5000 0.5000  0.00
Ru 0.5000 0.5000 0.0000  1.34

=====

# 6
# KCa2Ru

An optimized crystal structure of KCa2Ru (GGA-PBE, Alexandria).

Summary:
Its energy relative to the lowest polymorph listed for this composition is 0.80 eV per formula unit. For the total magnetization, the calculation gives 0.0 μB per cell. For the calculated formation energy, the calculation gives 0.430 eV/atom.

a = 5.3139 Å, b = 5.3139 Å, c = 8.8440 Å
α = 73.22°, β = 73.22°, γ = 39.11°
Fractional coordinates of all 4 atoms:
Ca 0.9390 0.9390 0.1169
Ca 0.7487 0.7487 0.8447
K 0.5926 0.5926 0.4452
Ru 0.2196 0.2196 0.0931

=====

# 7
# K2CaRu

An optimized crystal structure of K2CaRu (GGA-PBE, Alexandria).

Summary:
Its energy relative to the lowest polymorph listed for this composition is 0.71 eV per formula unit. For the total magnetization, the calculation gives 0.8 μB per cell. For the calculated formation energy, the calculation gives 0.756 eV/atom.

a = 7.9688 Å, b = 7.9688 Å, c = 7.9688 Å
α = 154.92°, β = 132.97°, γ = 54.03°
Last column: magnetic moment on the atom in μB.
Fractional coordinates of all 4 atoms:
Ca 0.6620 0.1620 0.5000  -0.02
K 0.0009 0.0009 0.0000  0.00
K 0.3198 0.8198 0.5000  0.00
Ru 0.5172 0.5172 0.0000  0.81

=====

# 8
# KCaRu2

An optimized crystal structure of KCaRu2 (GGA-PBE, Alexandria).

Summary:
Its energy relative to the lowest polymorph listed for this composition is 2.29 eV per formula unit. For the total magnetization, the calculation gives 1.1 μB per cell. For the calculated formation energy, the calculation gives 0.948 eV/atom.

a = 10.5785 Å, b = 10.5785 Å, c = 10.5785 Å
α = 16.17°, β = 16.17°, γ = 16.17°
Last column: magnetic moment on the atom in μB.
Fractional coordinates of all 4 atoms:
Ca 0.2500 0.2500 0.2500  -0.02
K 0.7500 0.7500 0.7500  -0.01
Ru 0.9931 0.9931 0.9931  0.59
Ru 0.5069 0.5069 0.5069  0.59